No. 1
This record from Alexandria describes TmAs2Rh4 after structural relaxation. The functional is GGA-PBE.

```
TmAs2Rh4
1.0
17.2462 0.0000 0.0000
0.0000 4.2131 0.0000
0.0000 0.0000 6.2658
Tm As Rh
4 8 16
Direct
0.1368 0.2500 0.0380 Tm
0.3632 0.7500 0.5380 Tm
0.6368 0.2500 0.4620 Tm
0.8632 0.7500 0.9620 Tm
0.0402 0.7500 0.2547 As
0.2069 0.2500 0.6040 As
0.2931 0.7500 0.1040 As
0.4598 0.2500 0.7547 As
0.5402 0.7500 0.2453 As
0.7069 0.2500 0.8960 As
0.7931 0.7500 0.3960 As
0.9598 0.2500 0.7453 As
0.0325 0.7500 0.8568 Rh
0.0715 0.2500 0.5107 Rh
0.1774 0.7500 0.3613 Rh
0.2118 0.7500 0.7974 Rh
0.2882 0.2500 0.2974 Rh
0.3226 0.2500 0.8613 Rh
0.4285 0.7500 0.0107 Rh
0.4675 0.2500 0.3568 Rh
0.5325 0.7500 0.6432 Rh
0.5715 0.2500 0.9893 Rh
0.6774 0.7500 0.1387 Rh
0.7118 0.7500 0.7026 Rh
0.7882 0.2500 0.2026 Rh
0.8226 0.2500 0.6387 Rh
0.9285 0.7500 0.4893 Rh
0.9675 0.2500 0.1432 Rh
```

- E (eV/atom) = -6.854
- ΔH_f (0 K) (eV per atom) = -0.686
- magnetic moment (μB/f.u.) = 0.0
- volume (Å³/cell) = 455.27

***

No. 2
This record from Alexandria describes Tm4As6Rh7 after structural relaxation. The functional is GGA-PBE.

```
Tm4As6Rh7
1.0
-4.1757 4.1757 4.1757
4.1757 -4.1757 4.1757
4.1757 4.1757 -4.1757
Tm As Rh
4 6 7
Direct
0.0000 0.0000 0.5000 Tm
0.0000 0.5000 0.0000 Tm
0.5000 0.0000 0.0000 Tm
0.5000 0.5000 0.5000 Tm
0.0000 0.3171 0.3171 As
0.0000 0.6829 0.6829 As
0.3171 0.0000 0.3171 As
0.3171 0.3171 0.0000 As
0.6829 0.0000 0.6829 As
0.6829 0.6829 0.0000 As
0.0000 0.0000 0.0000 Rh
0.2500 0.5000 0.7500 Rh
0.2500 0.7500 0.5000 Rh
0.5000 0.2500 0.7500 Rh
0.5000 0.7500 0.2500 Rh
0.7500 0.2500 0.5000 Rh
0.7500 0.5000 0.2500 Rh
```

- E (eV/atom) = -6.739
- ΔH_f (0 K) (eV per atom) = -1.019
- magnetic moment (μB/f.u.) = 0.0
- volume (Å³/cell) = 291.23

***

No. 3
This record from Alexandria describes Tm2As2Rh5 after structural relaxation. The functional is GGA-PBE.

```
Tm2As2Rh5
1.0
4.2064 0.0000 0.0000
0.0000 4.2064 0.0000
0.0000 0.0000 8.7304
Tm As Rh
2 2 5
Direct
0.0000 0.0000 0.0000 Tm
0.0000 0.0000 0.5000 Tm
0.5000 0.5000 0.1445 As
0.5000 0.5000 0.8555 As
0.0000 0.5000 0.2693 Rh
0.0000 0.5000 0.7307 Rh
0.5000 0.0000 0.2693 Rh
0.5000 0.0000 0.7307 Rh
0.5000 0.5000 0.5000 Rh
```

- E (eV/atom) = -6.916
- ΔH_f (0 K) (eV per atom) = -0.805
- magnetic moment (μB/f.u.) = 0.0
- volume (Å³/cell) = 154.47

***

No. 4
This record from Alexandria describes TmAs2Rh4 after structural relaxation. The functional is GGA-PBE.

```
TmAs2Rh4
1.0
7.7372 0.0000 0.0000
0.0000 7.7372 0.0000
0.0000 0.0000 3.8362
Tm As Rh
2 4 8
Direct
0.0000 0.0000 0.0000 Tm
0.5000 0.5000 0.5000 Tm
0.2308 0.2308 0.5000 As
0.2692 0.7308 0.0000 As
0.7308 0.2692 0.0000 As
0.7692 0.7692 0.5000 As
0.0720 0.6731 0.5000 Rh
0.1731 0.4280 0.0000 Rh
0.3269 0.9280 0.5000 Rh
0.4280 0.1731 0.0000 Rh
0.5720 0.8269 0.0000 Rh
0.6731 0.0720 0.5000 Rh
0.8269 0.5720 0.0000 Rh
0.9280 0.3269 0.5000 Rh
```

- E (eV/atom) = -6.856
- ΔH_f (0 K) (eV per atom) = -0.688
- magnetic moment (μB/f.u.) = 0.0
- volume (Å³/cell) = 229.65

***

No. 5
This record from Alexandria describes TmAs2Rh after structural relaxation. The functional is GGA-PBE.

```
TmAs2Rh
1.0
3.9726 0.0000 0.0000
0.0000 4.8089 0.0000
-1.9826 0.0000 8.1458
Tm As Rh
2 4 2
Direct
0.1052 0.2500 0.2091 Tm
0.8948 0.7500 0.7909 Tm
0.2648 0.7500 0.5303 As
0.4721 0.2500 0.9414 As
0.5279 0.7500 0.0586 As
0.7352 0.2500 0.4697 As
0.3227 0.2500 0.6450 Rh
0.6773 0.7500 0.3550 Rh
```

- E (eV/atom) = -6.076
- ΔH_f (0 K) (eV per atom) = -0.795
- magnetic moment (μB/f.u.) = 0.0
- volume (Å³/cell) = 155.62

***

No. 6
This record from Alexandria describes TmAsRh after structural relaxation. The functional is GGA-PBE.

```
TmAsRh
1.0
2.0882 -3.6899 0.0000
2.0882 3.6899 0.0000
0.0000 0.0000 7.5182
Tm As Rh
2 2 2
Direct
0.0000 0.0000 0.0000 Tm
0.0000 0.0000 0.5000 Tm
0.3329 0.6671 0.7500 As
0.6671 0.3329 0.2500 As
0.3371 0.6629 0.2500 Rh
0.6629 0.3371 0.7500 Rh
```

- E (eV/atom) = -6.527
- ΔH_f (0 K) (eV per atom) = -1.037
- magnetic moment (μB/f.u.) = 0.0
- volume (Å³/cell) = 115.86

***

No. 7
This record from Alexandria describes Tm3As2Rh7 after structural relaxation. The functional is GGA-PBE.

```
Tm3As2Rh7
1.0
2.0427 -13.9062 0.0000
2.0427 13.9062 0.0000
0.0000 0.0000 3.9486
Tm As Rh
3 2 7
Direct
0.0000 0.0000 0.0000 Tm
0.2030 0.7970 0.0000 Tm
0.7970 0.2030 0.0000 Tm
0.4147 0.5853 0.5000 As
0.5853 0.4147 0.5000 As
0.1316 0.8684 0.5000 Rh
0.2890 0.7110 0.5000 Rh
0.3661 0.6339 0.0000 Rh
0.5000 0.5000 0.5000 Rh
0.6339 0.3661 0.0000 Rh
0.7110 0.2890 0.5000 Rh
0.8684 0.1316 0.5000 Rh
```

- E (eV/atom) = -6.815
- ΔH_f (0 K) (eV per atom) = -0.634
- magnetic moment (μB/f.u.) = 0.0
- volume (Å³/cell) = 224.33

***

No. 8
This record from Alexandria describes TmAs2Rh after structural relaxation. The functional is GGA-PBE.

```
TmAs2Rh
1.0
1.9945 1.1515 5.5410
-1.9945 1.1515 5.5410
0.0000 -2.3031 5.5410
Tm As Rh
1 2 1
Direct
0.0000 0.0000 0.0000 Tm
0.2337 0.2337 0.2337 As
0.7663 0.7663 0.7663 As
0.5000 0.5000 0.5000 Rh
```

- E (eV/atom) = -6.125
- ΔH_f (0 K) (eV per atom) = -0.844
- magnetic moment (μB/f.u.) = 0.0
- volume (Å³/cell) = 76.36

***

No. 9
This record from Alexandria describes Tm2AsRh3 after structural relaxation. The functional is GGA-PBE.

```
Tm2AsRh3
1.0
2.7781 1.6039 3.9397
-2.7781 1.6039 3.9397
0.0000 -3.2078 3.9397
Tm As Rh
2 1 3
Direct
0.1286 0.1286 0.1286 Tm
0.8714 0.8714 0.8714 Tm
0.5000 0.5000 0.5000 As
0.0000 0.5000 0.5000 Rh
0.5000 0.0000 0.5000 Rh
0.5000 0.5000 0.0000 Rh
```

- E (eV/atom) = -6.868
- ΔH_f (0 K) (eV per atom) = -0.927
- magnetic moment (μB/f.u.) = 0.0
- volume (Å³/cell) = 105.33

***

No. 10
This record from Alexandria describes TmAsRh after structural relaxation. The functional is GGA-PBE.

```
TmAsRh
1.0
6.8642 0.0000 0.0000
0.0000 3.9844 0.0000
-0.2210 0.0000 11.9327
Tm As Rh
6 6 6
Direct
0.0279 0.2500 0.2073 Tm
0.3411 0.7500 0.5791 Tm
0.4682 0.7500 0.8795 Tm
0.5318 0.2500 0.1205 Tm
0.6589 0.2500 0.4209 Tm
0.9721 0.7500 0.7927 Tm
0.2327 0.2500 0.4163 As
0.2333 0.7500 0.0785 As
0.2677 0.2500 0.7485 As
0.7323 0.7500 0.2515 As
0.7667 0.2500 0.9215 As
0.7673 0.7500 0.5837 As
0.0010 0.7500 0.4091 Rh
0.1541 0.2500 0.9563 Rh
0.3620 0.7500 0.2938 Rh
0.6380 0.2500 0.7062 Rh
0.8459 0.7500 0.0437 Rh
0.9990 0.2500 0.5909 Rh
```

- E (eV/atom) = -6.619
- ΔH_f (0 K) (eV per atom) = -1.128
- magnetic moment (μB/f.u.) = 0.0
- volume (Å³/cell) = 326.36

***

No. 11
This record from Alexandria describes TmAs2Rh3 after structural relaxation. The functional is GGA-PBE.

```
TmAs2Rh3
1.0
8.2121 -1.9787 0.0000
8.2121 1.9787 0.0000
-2.9917 0.0000 9.3398
Tm As Rh
3 6 9
Direct
0.0000 0.0000 0.0000 Tm
0.1559 0.1559 0.6951 Tm
0.8441 0.8441 0.3049 Tm
0.1942 0.1942 0.1289 As
0.3626 0.3626 0.5449 As
0.4575 0.4575 0.2189 As
0.5425 0.5425 0.7811 As
0.6374 0.6374 0.4551 As
0.8058 0.8058 0.8711 As
0.0393 0.0393 0.3239 Rh
0.2195 0.2195 0.3915 Rh
0.3190 0.3190 0.0454 Rh
0.3807 0.3807 0.8020 Rh
0.5000 0.5000 0.5000 Rh
0.6193 0.6193 0.1980 Rh
0.6810 0.6810 0.9546 Rh
0.7805 0.7805 0.6085 Rh
0.9607 0.9607 0.6761 Rh
```

- E (eV/atom) = -6.806
- ΔH_f (0 K) (eV per atom) = -0.836
- magnetic moment (μB/f.u.) = 0.0
- volume (Å³/cell) = 303.54

***

No. 12
This record from Alexandria describes TmAsRh3 after structural relaxation. The functional is GGA-PBE.

```
TmAsRh3
1.0
-2.7099 3.7738 4.2192
2.7099 -3.7738 4.2192
2.7099 3.7738 -4.2192
Tm As Rh
2 2 6
Direct
0.2564 0.0064 0.2500 Tm
0.7436 0.9936 0.7500 Tm
0.0000 0.5000 0.5000 As
0.5000 0.5000 0.0000 As
0.0687 0.3187 0.7500 Rh
0.3028 0.0000 0.8028 Rh
0.3028 0.5000 0.3028 Rh
0.6972 0.0000 0.1972 Rh
0.6972 0.5000 0.6972 Rh
0.9313 0.6813 0.2500 Rh
```

- E (eV/atom) = -6.877
- ΔH_f (0 K) (eV per atom) = -0.642
- magnetic moment (μB/f.u.) = 0.0
- volume (Å³/cell) = 172.60

***

No. 13
This record from Alexandria describes Tm3As4Rh7 after structural relaxation. The functional is GGA-PBE.

```
Tm3As4Rh7
1.0
7.6239 -2.0148 0.0000
7.6239 2.0148 0.0000
-5.2702 0.0000 7.6891
Tm As Rh
3 4 7
Direct
0.0000 0.0000 0.0000 Tm
0.3335 0.3335 0.3399 Tm
0.6665 0.6665 0.6601 Tm
0.1091 0.1091 0.8303 As
0.3332 0.3332 0.7310 As
0.6668 0.6668 0.2690 As
0.8909 0.8909 0.1697 As
0.0000 0.0000 0.5000 Rh
0.1669 0.1669 0.4257 Rh
0.3020 0.3020 0.9594 Rh
0.4910 0.4910 0.7200 Rh
0.5090 0.5090 0.2800 Rh
0.6980 0.6980 0.0406 Rh
0.8331 0.8331 0.5743 Rh
```

- E (eV/atom) = -6.883
- ΔH_f (0 K) (eV per atom) = -0.921
- magnetic moment (μB/f.u.) = 0.0
- volume (Å³/cell) = 236.21

***

No. 14
This record from Alexandria describes Tm2As7Rh12 after structural relaxation. The functional is GGA-PBE.

```
Tm2As7Rh12
1.0
9.9822 0.0000 0.0000
-4.9911 8.6448 0.0000
0.0000 0.0000 3.8956
Tm As Rh
2 7 12
Direct
0.3333 0.6667 0.2485 Tm
0.6667 0.3333 0.7515 Tm
0.0000 0.0000 0.5000 As
0.1183 0.4061 0.7507 As
0.2878 0.8817 0.7507 As
0.4061 0.2878 0.2493 As
0.5939 0.7122 0.7507 As
0.7122 0.1183 0.2493 As
0.8817 0.5939 0.2493 As
0.0685 0.6188 0.7499 Rh
0.1151 0.8512 0.2476 Rh
0.1488 0.2638 0.2476 Rh
0.2638 0.1151 0.7524 Rh
0.3812 0.4497 0.7499 Rh
0.4497 0.0685 0.2501 Rh
0.5503 0.9315 0.7499 Rh
0.6188 0.5503 0.2501 Rh
0.7362 0.8849 0.2476 Rh
0.8512 0.7362 0.7524 Rh
0.8849 0.1488 0.7524 Rh
0.9315 0.3812 0.2501 Rh
```

- E (eV/atom) = -6.867
- ΔH_f (0 K) (eV per atom) = -0.690
- magnetic moment (μB/f.u.) = 0.0
- volume (Å³/cell) = 336.17

***

No. 15
This record from Alexandria describes TmUAs2Rh5 after structural relaxation. The functional is GGA-PBE.

```
TmUAs2Rh5
1.0
3.9314 0.0000 0.0000
0.0000 3.9314 0.0000
0.0000 0.0000 11.5540
Tm U As Rh
1 1 2 5
Direct
0.0000 0.0000 0.0000 Tm
0.5000 0.5000 0.5000 U
0.5000 0.5000 0.2054 As
0.5000 0.5000 0.7946 As
0.0000 0.5000 0.3421 Rh
0.0000 0.5000 0.6579 Rh
0.5000 0.0000 0.3421 Rh
0.5000 0.0000 0.6579 Rh
0.5000 0.5000 0.0000 Rh
```

- E (eV/atom) = -7.294
- ΔH_f (0 K) (eV per atom) = -0.425
- magnetic moment (μB/f.u.) = 0.0
- volume (Å³/cell) = 178.57

***

No. 16
This record from Alexandria describes U4AsRh12 after structural relaxation. The functional is GGA-PBE.

```
U4AsRh12
1.0
-4.1339 4.1339 4.1339
4.1339 -4.1339 4.1339
4.1339 4.1339 -4.1339
U As Rh
4 1 12
Direct
0.0000 0.0000 0.5000 U
0.0000 0.5000 0.0000 U
0.5000 0.0000 0.0000 U
0.5000 0.5000 0.5000 U
0.0000 0.0000 0.0000 As
0.0000 0.2838 0.2838 Rh
0.0000 0.7162 0.7162 Rh
0.2500 0.5000 0.7500 Rh
0.2500 0.7500 0.5000 Rh
0.2838 0.0000 0.2838 Rh
0.2838 0.2838 0.0000 Rh
0.5000 0.2500 0.7500 Rh
0.5000 0.7500 0.2500 Rh
0.7162 0.0000 0.7162 Rh
0.7162 0.7162 0.0000 Rh
0.7500 0.2500 0.5000 Rh
0.7500 0.5000 0.2500 Rh
```

- E (eV/atom) = -8.679
- ΔH_f (0 K) (eV per atom) = -0.560
- magnetic moment (μB/f.u.) = 2.1
- volume (Å³/cell) = 282.59

***

No. 17
This record from Alexandria describes U2As3Rh5 after structural relaxation. The functional is GGA-PBE.

```
U2As3Rh5
1.0
2.0509 -12.3422 0.0000
2.0509 12.3422 0.0000
0.0000 0.0000 6.7324
U As Rh
4 6 10
Direct
0.0184 0.9816 0.5000 U
0.3261 0.6739 0.5137 U
0.6739 0.3261 0.0137 U
0.9816 0.0184 0.0000 U
0.1188 0.8812 0.7100 As
0.2736 0.7264 0.0424 As
0.4477 0.5523 0.7211 As
0.5523 0.4477 0.2211 As
0.7264 0.2736 0.5424 As
0.8812 0.1188 0.2100 As
0.1001 0.8999 0.0861 Rh
0.1977 0.8023 0.3102 Rh
0.2215 0.7785 0.7426 Rh
0.3731 0.6269 0.9862 Rh
0.4484 0.5516 0.3217 Rh
0.5516 0.4484 0.8217 Rh
0.6269 0.3731 0.4862 Rh
0.7785 0.2215 0.2426 Rh
0.8023 0.1977 0.8102 Rh
0.8999 0.1001 0.5861 Rh
```

- E (eV/atom) = -7.892
- ΔH_f (0 K) (eV per atom) = -0.564
- magnetic moment (μB/f.u.) = 0.6
- volume (Å³/cell) = 340.84

***

No. 18
This record from Alexandria describes UAsRh after structural relaxation. The functional is GGA-PBE.

```
UAsRh
1.0
-1.7921 1.7921 4.4492
1.7921 -1.7921 4.4492
1.7921 1.7921 -4.4492
U As Rh
1 1 1
Direct
0.0000 0.0000 0.0000 U
0.6670 0.6670 0.0000 As
0.3535 0.3535 0.0000 Rh
```

- E (eV/atom) = -8.151
- ΔH_f (0 K) (eV per atom) = -0.388
- magnetic moment (μB/f.u.) = 0.0
- volume (Å³/cell) = 57.16

***

No. 19
This record from Alexandria describes UAs2Rh after structural relaxation. The functional is GGA-PBE.

```
UAs2Rh
1.0
4.3345 0.0000 0.0000
0.0000 4.3345 0.0000
0.0000 0.0000 3.7985
U As Rh
1 2 1
Direct
0.0000 0.0000 0.0000 U
0.0000 0.5000 0.5000 As
0.5000 0.0000 0.5000 As
0.5000 0.5000 0.0000 Rh
```

- E (eV/atom) = -7.505
- ΔH_f (0 K) (eV per atom) = -0.520
- magnetic moment (μB/f.u.) = 0.5
- volume (Å³/cell) = 71.37

***

No. 20
This record from Alexandria describes U3As4Rh4 after structural relaxation. The functional is GGA-PBE.

```
U3As4Rh4
1.0
8.2597 0.0000 0.0000
0.0000 1.9998 6.0924
0.0000 -1.9998 6.0924
U As Rh
3 4 4
Direct
0.0000 0.0000 0.0000 U
0.2503 0.1211 0.1211 U
0.7497 0.1211 0.1211 U
0.0000 0.6838 0.6838 As
0.2583 0.4418 0.4418 As
0.5000 0.6792 0.6792 As
0.7417 0.4418 0.4418 As
0.0000 0.3241 0.3241 Rh
0.2501 0.8042 0.8042 Rh
0.5000 0.3109 0.3109 Rh
0.7499 0.8042 0.8042 Rh
```

- E (eV/atom) = -8.002
- ΔH_f (0 K) (eV per atom) = -0.560
- magnetic moment (μB/f.u.) = 0.4
- volume (Å³/cell) = 201.27